Below is an optimized crystal structure of ThScFe, with properties calculated at the PBE-GGA level.

```
data_ThScFe
_symmetry_space_group_name_H-M 'P 1'
_symmetry_Int_Tables_number 1
_cell_length_a 6.494
_cell_length_b 6.494
_cell_length_c 6.494
_cell_angle_alpha 150.54
_cell_angle_beta 150.54
_cell_angle_gamma 42.15
loop_
_symmetry_equiv_pos_as_xyz
'x,y,z'
loop_
_atom_site_label
_atom_site_type_symbol
_atom_site_fract_x
_atom_site_fract_y
_atom_site_fract_z
_atom_site_occupancy
Th1 Th 0.000 0.000 0.000 1
Sc1 Sc 0.265 0.265 0.000 1
Fe1 Fe 0.641 0.641 0.000 1
```

Computed properties:
The formation energy comes out at 43 meV/atom. As for the crystal system: tetragonal.

Below is an optimized crystal structure of ZnReSe2, with properties calculated at the PBE-GGA level.

```
data_ZnReSe2
_symmetry_space_group_name_H-M 'P 1'
_symmetry_Int_Tables_number 1
_cell_length_a 2.953
_cell_length_b 2.953
_cell_length_c 9.795
_cell_angle_alpha 90.00
_cell_angle_beta 90.00
_cell_angle_gamma 116.48
loop_
_symmetry_equiv_pos_as_xyz
'x,y,z'
loop_
_atom_site_label
_atom_site_type_symbol
_atom_site_fract_x
_atom_site_fract_y
_atom_site_fract_z
_atom_site_occupancy
Zn1 Zn 0.000 0.000 0.000 1
Re1 Re 0.500 0.500 0.779 1
Se1 Se 0.000 0.000 0.582 1
Se2 Se 0.500 0.500 0.216 1
```

Computed properties:
The value obtained for the offset from the most stable computed form is 307 meV per atom. As for the crystal system: orthorhombic.

Below is an optimized crystal structure of Ta2VCoH, with properties calculated at the PBE-GGA level.

```
data_Ta2VCoH
_symmetry_space_group_name_H-M 'P 1'
_symmetry_Int_Tables_number 1
_cell_length_a 4.323
_cell_length_b 4.323
_cell_length_c 3.356
_cell_angle_alpha 90.00
_cell_angle_beta 90.00
_cell_angle_gamma 90.00
loop_
_symmetry_equiv_pos_as_xyz
'x,y,z'
loop_
_atom_site_label
_atom_site_type_symbol
_atom_site_fract_x
_atom_site_fract_y
_atom_site_fract_z
_atom_site_occupancy
Ta1 Ta 0.000 0.500 0.000 1
Ta2 Ta 0.500 0.000 0.000 1
V1 V 0.000 0.000 0.500 1
Co1 Co 0.500 0.500 0.500 1
H1 H 0.000 0.000 0.000 1
```

Computed properties:
The value obtained for the offset from the most stable computed form is 49 meV per atom. As for the crystal system: tetragonal.

Below is an optimized crystal structure of YHg3I, with properties calculated at the PBE-GGA level.

```
data_YHg3I
_symmetry_space_group_name_H-M 'P 1'
_symmetry_Int_Tables_number 1
_cell_length_a 6.013
_cell_length_b 6.013
_cell_length_c 6.013
_cell_angle_alpha 90.00
_cell_angle_beta 90.00
_cell_angle_gamma 90.00
loop_
_symmetry_equiv_pos_as_xyz
'x,y,z'
loop_
_atom_site_label
_atom_site_type_symbol
_atom_site_fract_x
_atom_site_fract_y
_atom_site_fract_z
_atom_site_occupancy
Y1 Y 0.000 0.000 0.000 1
Hg1 Hg 0.000 0.000 0.500 1
Hg2 Hg 0.000 0.500 0.000 1
Hg3 Hg 0.500 0.000 0.000 1
I1 I 0.500 0.500 0.500 1
```

Computed properties:
The value obtained for the offset from the most stable computed form is 0 meV per atom. As for the crystal system: cubic.

Below is an optimized crystal structure of Ge2Mo, with properties calculated at the PBE-GGA level.

```
data_Ge2Mo
_symmetry_space_group_name_H-M 'P 1'
_symmetry_Int_Tables_number 1
_cell_length_a 6.428
_cell_length_b 6.529
_cell_length_c 2.657
_cell_angle_alpha 90.00
_cell_angle_beta 90.00
_cell_angle_gamma 90.00
loop_
_symmetry_equiv_pos_as_xyz
'x,y,z'
loop_
_atom_site_label
_atom_site_type_symbol
_atom_site_fract_x
_atom_site_fract_y
_atom_site_fract_z
_atom_site_occupancy
Ge1 Ge 0.165 0.132 0.000 1
Ge2 Ge 0.335 0.632 0.500 1
Ge3 Ge 0.665 0.368 0.500 1
Ge4 Ge 0.835 0.868 0.000 1
Mo1 Mo 0.000 0.500 0.000 1
Mo2 Mo 0.500 0.000 0.500 1
```

Computed properties:
The formation energy comes out at 282 meV/atom. As for the crystal system: orthorhombic.

Below is an optimized crystal structure of GdHoTm2, with properties calculated at the PBE-GGA level.

```
data_GdHoTm2
_symmetry_space_group_name_H-M 'P 1'
_symmetry_Int_Tables_number 1
_cell_length_a 4.981
_cell_length_b 4.981
_cell_length_c 4.960
_cell_angle_alpha 90.00
_cell_angle_beta 90.00
_cell_angle_gamma 90.00
loop_
_symmetry_equiv_pos_as_xyz
'x,y,z'
loop_
_atom_site_label
_atom_site_type_symbol
_atom_site_fract_x
_atom_site_fract_y
_atom_site_fract_z
_atom_site_occupancy
Gd1 Gd 0.000 0.000 0.000 1
Ho1 Ho 0.500 0.500 0.000 1
Tm1 Tm 0.000 0.500 0.500 1
Tm2 Tm 0.500 0.000 0.500 1
```

Computed properties:
The value obtained for the offset from the most stable computed form is 0 meV per atom. The formation energy comes out at 25 meV/atom. As for the crystal system: tetragonal.

Below is an optimized crystal structure of Zn2CuTe, with properties calculated at the PBE-GGA level.

```
data_Zn2CuTe
_symmetry_space_group_name_H-M 'P 1'
_symmetry_Int_Tables_number 1
_cell_length_a 8.668
_cell_length_b 8.668
_cell_length_c 8.668
_cell_angle_alpha 21.50
_cell_angle_beta 21.50
_cell_angle_gamma 21.50
loop_
_symmetry_equiv_pos_as_xyz
'x,y,z'
loop_
_atom_site_label
_atom_site_type_symbol
_atom_site_fract_x
_atom_site_fract_y
_atom_site_fract_z
_atom_site_occupancy
Zn1 Zn 0.235 0.235 0.235 1
Zn2 Zn 0.765 0.765 0.765 1
Cu1 Cu 0.500 0.500 0.500 1
Te1 Te 0.000 0.000 0.000 1
```

Computed properties:
The value obtained for the offset from the most stable computed form is 210 meV per atom. As for the crystal system: trigonal.

Below is an optimized crystal structure of ErIn2Sn, with properties calculated at the PBE-GGA level.

```
data_ErIn2Sn
_symmetry_space_group_name_H-M 'P 1'
_symmetry_Int_Tables_number 1
_cell_length_a 4.526
_cell_length_b 4.526
_cell_length_c 4.911
_cell_angle_alpha 90.00
_cell_angle_beta 90.00
_cell_angle_gamma 90.00
loop_
_symmetry_equiv_pos_as_xyz
'x,y,z'
loop_
_atom_site_label
_atom_site_type_symbol
_atom_site_fract_x
_atom_site_fract_y
_atom_site_fract_z
_atom_site_occupancy
Er1 Er 0.000 0.000 0.000 1
In1 In 0.000 0.500 0.500 1
In2 In 0.500 0.000 0.500 1
Sn1 Sn 0.500 0.500 0.000 1
```

Computed properties:
The value obtained for the offset from the most stable computed form is 0 meV per atom. The formation energy comes out at -388 meV/atom. As for the crystal system: tetragonal.

Below is an optimized crystal structure of Te6Pd3Rh, with properties calculated at the PBE-GGA level.

```
data_Te6Pd3Rh
_symmetry_space_group_name_H-M 'P 1'
_symmetry_Int_Tables_number 1
_cell_length_a 6.347
_cell_length_b 7.820
_cell_length_c 7.836
_cell_angle_alpha 67.25
_cell_angle_beta 67.14
_cell_angle_gamma 67.33
loop_
_symmetry_equiv_pos_as_xyz
'x,y,z'
loop_
_atom_site_label
_atom_site_type_symbol
_atom_site_fract_x
_atom_site_fract_y
_atom_site_fract_z
_atom_site_occupancy
Te1 Te 0.196 0.298 0.255 1
Te2 Te 0.201 0.756 0.796 1
Te3 Te 0.243 0.746 0.244 1
Te4 Te 0.757 0.254 0.756 1
Te5 Te 0.799 0.244 0.204 1
Te6 Te 0.804 0.702 0.745 1
Pd1 Pd 0.000 0.000 0.000 1
Pd2 Pd 0.000 0.000 0.500 1
Pd3 Pd 0.000 0.500 0.500 1
Rh1 Rh 0.500 0.500 0.000 1
```

Computed properties:
The value obtained for the offset from the most stable computed form is 186 meV per atom. As for the crystal system: triclinic.

Below is an optimized crystal structure of CaCoGe2Pd, with properties calculated at the PBE-GGA level.

```
data_CaCoGe2Pd
_symmetry_space_group_name_H-M 'P 1'
_symmetry_Int_Tables_number 1
_cell_length_a 5.951
_cell_length_b 5.951
_cell_length_c 5.951
_cell_angle_alpha 139.10
_cell_angle_beta 139.10
_cell_angle_gamma 59.22
loop_
_symmetry_equiv_pos_as_xyz
'x,y,z'
loop_
_atom_site_label
_atom_site_type_symbol
_atom_site_fract_x
_atom_site_fract_y
_atom_site_fract_z
_atom_site_occupancy
Ca1 Ca 0.000 0.000 0.000 1
Co1 Co 0.750 0.250 0.500 1
Ge1 Ge 0.374 0.374 0.000 1
Ge2 Ge 0.626 0.626 0.000 1
Pd1 Pd 0.250 0.750 0.500 1
```

Computed properties:
The formation energy comes out at -543 meV/atom. As for the crystal system: tetragonal.

no.,size of the total moment (μB per formula unit),volume (Å³ per cell)
1,0.820,66.1
2,0.000,76.5
3,1.005,62.7
4,0.000,217.5
5,0.000,111.5
6,7.059,123.1
7,0.000,76.7
8,0.000,100.6
9,0.000,317.6
10,0.929,89.5